A geometry-optimized EuNbCrBiO6 structure. Source: the Alexandria database, functional PBE+U. Values from VASP.

```
&SYSTEM
  ibrav = 0, nat = 10, ntyp = 5
/
ATOMIC_SPECIES
Eu 151.96 Eu.upf
Nb 92.91 Nb.upf
Cr 52.00 Cr.upf
Bi 208.98 Bi.upf
O 16.00 O.upf
ATOMIC_POSITIONS crystal
Eu 0.0000 0.0000 0.0000
Nb 0.7500 0.7500 0.7500
Cr 0.2500 0.2500 0.2500
Bi 0.5000 0.5000 0.5000
O 0.0015 0.0015 0.4985
O 0.0015 0.4985 0.0015
O 0.0015 0.4985 0.4985
O 0.4985 0.0015 0.0015
O 0.4985 0.0015 0.4985
O 0.4985 0.4985 0.0015
CELL_PARAMETERS angstrom
0.0000 4.0089 4.0089
4.0089 0.0000 4.0089
4.0089 4.0089 0.0000
```

E (eV/atom): -8.22
Crystal system: cubic
Total moment (μB/cell): 4.1
Space-group type: F-43m, No. 216